(1)
A plane-wave DFT calculation with PBE-GGA was carried out for an optimized crystal structure of Pm2SmHf.

abc: 12.408 12.408 12.408
angles: 15.70 15.70 15.70
Atoms (fractional coordinates):
Pm: 0.085 0.085 0.085
Pm: 0.915 0.915 0.915
Sm: 0.500 0.500 0.500
Hf: 0.000 0.000 0.000

Computed properties:
As for the crystal system: trigonal. The calculation puts the formation enthalpy at 0 K at 0.391 eV per atom. The value obtained for the offset from the most stable computed form is 236 meV per atom. The total energy is -22.61 eV/cell. As for the symmetry: R-3m, No. 166.

***

(2)
A plane-wave DFT calculation with PBE-GGA was carried out for an optimized crystal structure of LaNd3Er7.

abc: 8.462 8.462 8.462
angles: 139.54 97.02 96.71
Atoms (fractional coordinates):
La: 0.000 0.000 0.000
Nd: 0.288 0.788 0.500
Nd: 0.500 0.500 0.000
Nd: 0.712 0.212 0.500
Er: 0.000 0.500 0.500
Er: 0.096 0.309 0.787
Er: 0.296 0.000 0.296
Er: 0.478 0.691 0.787
Er: 0.522 0.309 0.213
Er: 0.704 0.000 0.704
Er: 0.904 0.691 0.213

Computed properties:
As for the crystal system: orthorhombic. The calculation puts the formation enthalpy at 0 K at 0.256 eV per atom. The value obtained for the offset from the most stable computed form is 106 meV per atom. The total energy is -48.36 eV/cell. As for the symmetry: Immm, No. 71.

***

(3)
A plane-wave DFT calculation with PBE-GGA was carried out for an optimized crystal structure of La2NdRh.

abc: 7.398 10.187 6.522
angles: 90.00 90.00 90.00
Atoms (fractional coordinates):
La: 0.171 0.067 0.169
La: 0.171 0.433 0.169
La: 0.329 0.567 0.669
La: 0.329 0.933 0.669
La: 0.671 0.067 0.331
La: 0.671 0.433 0.331
La: 0.829 0.567 0.831
La: 0.829 0.933 0.831
Nd: 0.035 0.250 0.651
Nd: 0.465 0.750 0.151
Nd: 0.535 0.250 0.849
Nd: 0.965 0.750 0.349
Rh: 0.123 0.750 0.918
Rh: 0.377 0.250 0.418
Rh: 0.623 0.750 0.582
Rh: 0.877 0.250 0.082

Computed properties:
As for the crystal system: orthorhombic. The calculation puts the formation enthalpy at 0 K at -0.441 eV per atom. The value obtained for the offset from the most stable computed form is 0 meV per atom. The total energy is -94.95 eV/cell. As for the symmetry: Pnma, No. 62.